[1]
Material: HfAlCd2
Method: DFT, GGA-PBE
State: optimized geometry

a b c (Å): 4.4655 4.2111 4.2111
angles (deg): 90.00 90.00 90.00
Last column: nearest neighbours and their distance in Å.
Element x y z (fractional)
1 Cd 0.0000 0.0000 0.5000  4 Cd 2.98, 4 Hf 3.07, 4 Al 3.07
2 Cd 0.0000 0.5000 0.0000  4 Cd 2.98, 4 Hf 3.07, 4 Al 3.07
3 Al 0.5000 0.0000 0.0000  4 Hf 2.98, 8 Cd 3.07
4 Hf 0.5000 0.5000 0.5000  4 Al 2.98, 8 Cd 3.07

## Properties
Uncorrected energy ... -3.994 eV per atom
DFT formation energy ... -113 meV per atom
N(E_F) ... 0.468 states/eV per atom

---

[2]
Material: ZnPt2Rh
Method: DFT, GGA-PBE
State: optimized geometry

a b c (Å): 4.7829 4.7829 4.7425
angles (deg): 79.55 79.55 33.94
Last column: nearest neighbours and their distance in Å.
Element x y z (fractional)
1 Pt 0.9972 0.9972 0.9993  3 Zn 2.73-2.79, 6 Pt 2.74-2.79, 3 Rh 2.74-2.77
2 Pt 0.5028 0.5028 0.5007  3 Zn 2.73-2.79, 6 Pt 2.74-2.79, 3 Rh 2.74-2.77
3 Zn 0.2500 0.2500 0.2500  6 Pt 2.73-2.79, 4 Rh 2.75, 2 Zn 2.79
4 Rh 0.7500 0.7500 0.7500  6 Pt 2.74-2.77, 4 Zn 2.75, 2 Rh 2.79

## Properties
Uncorrected energy ... -5.425 eV per atom
DFT formation energy ... -248 meV per atom
N(E_F) ... 0.946 states/eV per atom

---

[3]
Material: Hg3Ge
Method: DFT, GGA-PBE
State: optimized geometry

a b c (Å): 3.0985 7.1637 5.9201
angles (deg): 127.23 105.17 90.00
Last column: nearest neighbours and their distance in Å.
Element x y z (fractional)
1 Ge 0.0000 0.0873 0.0000  8 Hg 3.05-3.14, 2 Ge 3.10
2 Hg 0.2943 0.5993 0.5886  5 Hg 3.02-3.26, 3 Ge 3.05-3.14
3 Hg 0.5000 0.4693 0.0000  8 Hg 3.02-3.26, 2 Ge 3.14
4 Hg 0.7057 0.0107 0.4114  5 Hg 3.02-3.26, 3 Ge 3.05-3.14

## Properties
Uncorrected energy ... -1.199 eV per atom
DFT formation energy ... 182 meV per atom
E above lowest polymorph ... 1.2 meV/atom
N(E_F) ... 0.325 states/eV per atom

---

[4]
Material: PuBi2Pd
Method: DFT, GGA-PBE
State: optimized geometry

a b c (Å): 3.4657 3.4657 8.4673
angles (deg): 90.00 90.00 90.00
Last column: nearest neighbours and their distance in Å.
Element x y z (fractional)
1 Bi 0.0000 0.0000 0.7869  4 Pd 3.04
2 Bi 0.0000 0.0000 0.2131  4 Pd 3.04
3 Pd 0.5000 0.5000 0.0000  8 Bi 3.04
4 Pu 0.5000 0.5000 0.5000  8 Bi 3.45, 4 Pu 3.47

## Properties
Uncorrected energy ... -7.002 eV per atom
DFT formation energy ... -181 meV per atom
N(E_F) ... 2.078 states/eV per atom

---

Please write out number 2 again, unchanged.
Material: ZnPt2Rh
Method: DFT, GGA-PBE
State: optimized geometry

a b c (Å): 4.7829 4.7829 4.7425
angles (deg): 79.55 79.55 33.94
Last column: nearest neighbours and their distance in Å.
Element x y z (fractional)
1 Pt 0.9972 0.9972 0.9993  3 Zn 2.73-2.79, 6 Pt 2.74-2.79, 3 Rh 2.74-2.77
2 Pt 0.5028 0.5028 0.5007  3 Zn 2.73-2.79, 6 Pt 2.74-2.79, 3 Rh 2.74-2.77
3 Zn 0.2500 0.2500 0.2500  6 Pt 2.73-2.79, 4 Rh 2.75, 2 Zn 2.79
4 Rh 0.7500 0.7500 0.7500  6 Pt 2.74-2.77, 4 Zn 2.75, 2 Rh 2.79

## Properties
Uncorrected energy ... -5.425 eV per atom
DFT formation energy ... -248 meV per atom
N(E_F) ... 0.946 states/eV per atom

---

- Which of these has the lowest uncorrected energy?
  PuBi2Pd

---

- N(E_F) of number 4 (PuBi2Pd)?
  2.078 states/eV per atom

---

- Number 2 is which compound?
  ZnPt2Rh